A plane-wave DFT calculation with PBE was carried out for a relaxed structure of PrDy4Y7.

Calculated values
DFT total energy: -5.42 eV/atom
formation enthalpy at 0 K: 281 meV/atom
V: 804.70 Å³/cell

The structure in CIF format:
```
data_PrDy4Y7
_cell_length_a 12.1218
_cell_length_b 5.8942
_cell_length_c 12.6884
_cell_angle_alpha 90.00
_cell_angle_beta 117.42
_cell_angle_gamma 90.00
_space_group_name_H-M_alt 'C 1 2/m 1'
_space_group_IT_number 12
loop_
_space_group_symop_operation_xyz
'x,y,z'
'-x,-y,-z'
'-x,y,-z'
'x,-y,z'
'x+1/2,y+1/2,z'
'-x+1/2,-y+1/2,-z'
'-x+1/2,y+1/2,-z'
'x+1/2,-y+1/2,z'
loop_
_atom_site_label
_atom_site_type_symbol
_atom_site_fract_x
_atom_site_fract_y
_atom_site_fract_z
_atom_site_occupancy
Pr1 Pr 0.0000 0.0000 0.0000 1
Dy1 Dy 0.1340 0.5000 0.7746 1
Dy2 Dy 0.2502 0.0000 0.6834 1
Y1 Y 0.0000 0.5000 0.0000 1
Y2 Y 0.0578 0.0000 0.3304 1
Y3 Y 0.1351 0.5000 0.5042 1
Y4 Y 0.2104 0.0000 0.9220 1
```